Sr4La2In after structural relaxation. Source: the Alexandria database, functional PBE.

Lattice parameters (Å, degrees): 6.4706 6.4706 17.6061 90.00 90.00 90.00
Closest atoms and distances in Å follow each position.
Space group I4/mmm (No. 139)
Unique sites:
Sr (0.0000, 0.0000, 0.1887) (multiplicity 4)  1 In 3.32
Sr (0.0000, 0.5000, 0.0000) (multiplicity 4)  2 In 3.24, 4 La 3.58
La (0.0000, 0.0000, 0.4135) (multiplicity 4)  1 La 3.05
In (0.0000, 0.0000, 0.0000) (multiplicity 2)  6 Sr 3.24-3.32

SrLa2In3 after structural relaxation. Source: the Alexandria database, functional PBE.

Lattice parameters (Å, degrees): 3.9597 3.9597 12.1882 90.00 90.00 90.00
Closest atoms and distances in Å follow each position.
Space group P4/mmm (No. 123)
Unique sites:
Sr (0.0000, 0.0000, 0.0000) (multiplicity 1)  8 In 3.51
La (0.0000, 0.0000, 0.3344) (multiplicity 2)  8 In 3.42-3.45
In (0.5000, 0.5000, 0.1738) (multiplicity 2)  4 La 3.42, 4 Sr 3.51
In (0.5000, 0.5000, 0.5000) (multiplicity 1)  8 La 3.45

Sr2LaIn after structural relaxation. Source: the Alexandria database, functional PBE.

Lattice parameters (Å, degrees): 9.6685 9.6685 7.0608 90.00 90.00 90.00
Closest atoms and distances in Å follow each position.
Space group I-42d (No. 122)
Unique sites:
Sr (0.2054, 0.7500, 0.1250) (multiplicity 8)  2 In 3.25, 2 Sr 3.63
La (0.0000, 0.0000, 0.5000) (multiplicity 4)  2 In 3.53, 4 Sr 3.84
In (0.0000, 0.0000, 0.0000) (multiplicity 4)  4 Sr 3.25, 2 La 3.53

SrLaIn2 after structural relaxation. Source: the Alexandria database, functional PBE.

Lattice parameters (Å, degrees): 3.7220 4.6029 7.5353 90.00 90.00 90.00
Closest atoms and distances in Å follow each position.
Space group Pmmm (No. 47)
Unique sites:
Sr (0.0000, 0.0000, 0.0000) (multiplicity 1)  8 In 3.60, 2 Sr 3.72, 2 La 3.77
La (0.0000, 0.0000, 0.5000) (multiplicity 1)  8 In 3.42, 2 La 3.72, 2 Sr 3.77
In (0.5000, 0.5000, 0.2720) (multiplicity 2)  4 La 3.42, 3 In 3.44-3.72, 4 Sr 3.60

SrLaIn after structural relaxation. Source: the Alexandria database, functional PBE.

Calculated values
ΔE to the lowest computed polymorph   0.0000 eV per atom

Lattice parameters (Å, degrees): 5.7225 5.7225 7.3456 90.00 90.00 120.00
Closest atoms and distances in Å follow each position.
Space group P6_3/mmc (No. 194)
Unique sites:
Sr (0.0000, 0.0000, 0.0000) (multiplicity 2)  2 Sr 3.67, 6 In 3.78, 6 La 3.78
La (0.3333, 0.6667, 0.2500) (multiplicity 2)  5 In 3.30-3.67
In (0.3333, 0.6667, 0.7500) (multiplicity 2)  5 La 3.30-3.67

Sr2LaIn after structural relaxation. Source: the Alexandria database, functional PBE.

Lattice parameters (Å, degrees): 4.0104 4.0212 10.2429 90.00 90.00 90.00
Closest atoms and distances in Å follow each position.
Space group Pmm2 (No. 25)
Unique sites:
Sr (0.0000, 0.0000, 0.0000) (multiplicity 1)  4 In 3.54, 1 La 3.93
Sr (0.5000, 0.5000, 0.3251) (multiplicity 1)  8 Sr 4.01-4.38, 4 La 4.12
La (0.0000, 0.0000, 0.6161) (multiplicity 1)  4 In 3.37
In (0.5000, 0.5000, 0.7929) (multiplicity 1)  4 La 3.37, 4 Sr 3.54

SrLaIn after structural relaxation. Source: the Alexandria database, functional PBE.

Calculated values
ΔE to the lowest computed polymorph   0.1947 eV per atom

Lattice parameters (Å, degrees): 3.8495 6.6752 9.4735 102.25 101.72 106.76
Closest atoms and distances in Å follow each position.
Space group P-1 (No. 2)
Unique sites:
Sr (0.1922, 0.1840, 0.2013) (multiplicity 2)  5 In 3.60-3.64, 3 Sr 3.80-3.85, 3 La 3.84-3.93
La (0.0614, 0.7280, 0.3945) (multiplicity 2)  2 In 3.38
In (0.3840, 0.6807, 0.0874) (multiplicity 2)  2 In 3.08, 2 La 3.38

SrLaIn2 after structural relaxation. Source: the Alexandria database, functional PBE.

Lattice parameters (Å, degrees): 8.0068 8.0068 8.0068 90.00 90.00 90.00
Closest atoms and distances in Å follow each position.
Space group F-43m (No. 216)
Unique sites:
Sr (0.0000, 0.0000, 0.0000) (multiplicity 4)  4 La 3.47, 4 In 3.47
La (0.2500, 0.2500, 0.7500) (multiplicity 4)  4 In 3.47, 4 Sr 3.47
In (0.0000, 0.0000, 0.5000) (multiplicity 4)  4 In 3.47, 4 La 3.47
In (0.2500, 0.2500, 0.2500) (multiplicity 4)  4 In 3.47, 4 Sr 3.47

no.,energy (eV/atom),calculated formation energy (meV per atom)
1,-2.394,366.1
2,-3.767,-474.8
3,-2.672,85.2
4,-3.463,-441.9
5,-3.487,-371.6
6,-2.947,-190.1
7,-3.293,-176.9
8,-3.080,-58.8